No. 1
Here is a relaxed structure of Zr2Fe3Mo from Alexandria. Energies are from GGA-PBE.

Output
SG: No. 166
DFT formation energy, eV per atom: -0.179

extended XYZ file:
```
6
Lattice="-2.523 -3.112 -3.222 -0.812 -0.336 5.065 -0.980 4.865 0.164" Properties=species:S:1:pos:R:3 pbc="T T T"
Zr -2.312 -1.858 -0.495
Zr -2.003 3.275 2.502
Fe -2.158 0.708 1.004
Fe -0.490 2.433 0.082
Fe -1.752 0.876 -1.529
Mo 0.000 0.000 0.000
```

***

No. 2
Here is a relaxed structure of ZrFeMo2 from Alexandria. Energies are from GGA-PBE.

Output
Relative energy among the computed polymorphs, eV/f.u.: 0.56
SG: No. 12
DFT formation energy, eV per atom: 0.158

extended XYZ file:
```
4
Lattice="-4.538 0.751 -2.653 1.206 -4.915 1.126 -1.830 -0.510 2.021" Properties=species:S:1:pos:R:3 pbc="T T T"
Fe -3.184 0.121 -0.316
Mo 0.000 0.000 0.000
Mo -0.312 -2.712 1.574
Zr -1.666 -2.082 -0.763
```

***

No. 3
Here is a relaxed structure of ZrFeMo2 from Alexandria. Energies are from GGA-PBE.

Output
Relative energy among the computed polymorphs, eV/f.u.: 0.68
SG: No. 99
DFT formation energy, eV per atom: 0.187

extended XYZ file:
```
4
Lattice="-1.150 0.971 2.373 -2.027 -1.938 -0.189 4.558 -5.189 4.331" Properties=species:S:1:pos:R:3 pbc="T T T"
Fe 1.955 -4.517 4.458
Mo 4.371 -4.977 4.153
Mo -0.534 -1.683 2.094
Zr 2.427 -2.763 2.306
```

***

No. 4
Here is a relaxed structure of ZrFe2Mo from Alexandria. Energies are from GGA-PBE.

Output
SG: No. 65
DFT formation energy, eV per atom: 0.200

extended XYZ file:
```
4
Lattice="2.751 0.013 0.000 -0.771 2.641 0.000 0.000 0.000 8.299" Properties=species:S:1:pos:R:3 pbc="T T T"
Fe 0.000 0.000 0.132
Fe 0.000 0.000 4.017
Mo 0.990 1.327 2.075
Zr 0.990 1.327 6.224
```

***

No. 5
Here is a relaxed structure of ZrFeMo2 from Alexandria. Energies are from GGA-PBE.

Output
Relative energy among the computed polymorphs, eV/f.u.: 0.18
SG: No. 47
DFT formation energy, eV per atom: 0.062

extended XYZ file:
```
4
Lattice="3.217 0.000 0.000 0.000 4.347 0.000 0.000 0.000 4.617" Properties=species:S:1:pos:R:3 pbc="T T T"
Fe 0.000 2.173 2.308
Mo 0.000 0.000 0.000
Mo 1.608 2.173 0.000
Zr 1.608 0.000 2.308
```

***

No. 6
Here is a relaxed structure of ZrFe2Mo from Alexandria. Energies are from GGA-PBE.

Output
SG: No. 166
DFT formation energy, eV per atom: 0.366

extended XYZ file:
```
4
Lattice="-4.723 -5.056 5.075 -2.060 -6.052 5.723 -3.109 -3.700 7.090" Properties=species:S:1:pos:R:3 pbc="T T T"
Fe -9.831 -14.717 17.778
Fe -5.007 -7.495 9.054
Mo -2.473 -3.702 4.472
Zr -7.419 -11.106 13.416
```

***

No. 7
Here is a relaxed structure of ZrFeMo2 from Alexandria. Energies are from GGA-PBE.

Output
Relative energy among the computed polymorphs, eV/f.u.: 0.80
SG: No. 123
DFT formation energy, eV per atom: 0.217

extended XYZ file:
```
4
Lattice="4.445 0.000 0.000 0.000 4.445 0.000 0.000 0.000 3.280" Properties=species:S:1:pos:R:3 pbc="T T T"
Fe 0.000 2.222 1.640
Mo 0.000 0.000 0.000
Mo 2.222 2.222 0.000
Zr 2.222 0.000 1.640
```

***

No. 8
Here is a relaxed structure of Zr2FeMo from Alexandria. Energies are from GGA-PBE.

Output
SG: No. 216
DFT formation energy, eV per atom: 0.187

extended XYZ file:
```
4
Lattice="4.606 0.000 0.000 2.303 3.989 0.000 2.303 1.330 3.761" Properties=species:S:1:pos:R:3 pbc="T T T"
Fe 4.606 2.659 1.880
Mo 2.303 1.330 0.940
Zr 0.000 0.000 0.000
Zr 6.909 3.989 2.821
```

***

No. 9
Here is a relaxed structure of Zr3FeMo from Alexandria. Energies are from GGA-PBE.

Output
Relative energy among the computed polymorphs, eV/f.u.: 0.00
SG: No. 221
DFT formation energy, eV per atom: 0.599

extended XYZ file:
```
5
Lattice="-4.641 -0.544 -0.834 -0.762 -0.616 4.645 -0.641 4.675 0.515" Properties=species:S:1:pos:R:3 pbc="T T T"
Mo -3.022 1.757 2.163
Fe 0.000 0.000 0.000
Zr -0.381 -0.308 2.322
Zr -0.320 2.338 0.258
Zr -2.321 -0.272 -0.417
```

***

No. 10
Here is a relaxed structure of ZrFe2Mo from Alexandria. Energies are from GGA-PBE.

Output
SG: No. 119
DFT formation energy, eV per atom: 0.234

extended XYZ file:
```
4
Lattice="5.072 -0.022 0.000 2.376 4.481 0.000 -3.724 -2.229 2.624" Properties=species:S:1:pos:R:3 pbc="T T T"
Fe 0.000 0.000 0.000
Fe 1.188 2.240 1.312
Mo 3.724 2.229 0.000
Zr 2.536 -0.011 1.312
```

***

No. 11
Here is a relaxed structure of Zr2FeMo from Alexandria. Energies are from GGA-PBE.

Output
SG: No. 123
DFT formation energy, eV per atom: -0.025

extended XYZ file:
```
4
Lattice="-0.647 -4.465 0.992 -0.018 -1.001 -4.510 3.241 -0.450 0.087" Properties=species:S:1:pos:R:3 pbc="T T T"
Fe 1.297 -2.457 0.540
Mo 1.611 -0.726 -2.211
Zr 0.000 0.000 0.000
Zr -0.332 -2.733 -1.759
```

***

No. 12
Here is a relaxed structure of ZrFeMo2 from Alexandria. Energies are from GGA-PBE.

Output
Relative energy among the computed polymorphs, eV/f.u.: 1.53
SG: No. 166
DFT formation energy, eV per atom: 0.400

extended XYZ file:
```
4
Lattice="9.543 -0.033 -0.019 9.132 2.773 -0.019 9.132 1.340 2.428" Properties=species:S:1:pos:R:3 pbc="T T T"
Fe 20.855 3.059 1.792
Mo 0.307 0.045 0.026
Mo 13.596 1.994 1.168
Zr 6.952 1.020 0.597
```